Entry 1:
VASP calculation (PBEsol) on Ba4MgFe after structural relaxation.

Unit cell a=7.0723 b=7.0723 c=7.0723 alpha=60.00 beta=60.00 gamma=60.00
Last column: nearest neighbours and their distance in Å.
Fractional coordinates of all 6 atoms:
Ba (0.3757, 0.3757, 0.3757)  6 Ba 3.52-3.55
Ba (0.3757, 0.3757, 0.8730)  6 Ba 3.52-3.55
Ba (0.3757, 0.8730, 0.3757)  6 Ba 3.52-3.55
Ba (0.8730, 0.3757, 0.3757)  6 Ba 3.52-3.55
Mg (0.0000, 0.0000, 0.0000)  12 Ba 4.15, 4 Fe 4.33
Fe (0.7500, 0.7500, 0.7500)  12 Ba 4.14, 4 Mg 4.33

Output
- symmetry = No. 216

Entry 2:
VASP calculation (PBEsol) on Er2Ge5Rh3 after structural relaxation.

Unit cell a=8.2122 b=8.2122 c=5.7597 alpha=108.65 beta=108.65 gamma=94.40
Last column: nearest neighbours and their distance in Å.
Fractional coordinates of all 20 atoms:
Er (0.0902, 0.3707, 0.2367)  10 Ge 2.98-3.34, 4 Rh 3.11-3.23
Er (0.3707, 0.0902, 0.7367)  10 Ge 2.98-3.34, 4 Rh 3.11-3.23
Er (0.6293, 0.9098, 0.2633)  10 Ge 2.98-3.34, 4 Rh 3.11-3.23
Er (0.9098, 0.6293, 0.7633)  10 Ge 2.98-3.34, 4 Rh 3.11-3.23
Ge (0.0137, 0.9863, 0.7500)  4 Rh 2.43-2.46
Ge (0.2343, 0.4221, 0.8301)  3 Rh 2.37-2.53, 1 Ge 2.64
Ge (0.2789, 0.7211, 0.7500)  3 Rh 2.52-2.68, 2 Ge 2.66
Ge (0.2946, 0.7054, 0.2500)  3 Rh 2.39-2.46, 2 Ge 2.64
Ge (0.4221, 0.2343, 0.3301)  3 Rh 2.37-2.53, 1 Ge 2.64
Ge (0.5779, 0.7657, 0.6699)  3 Rh 2.37-2.53, 1 Ge 2.64
Ge (0.7054, 0.2946, 0.7500)  3 Rh 2.39-2.46, 2 Ge 2.64
Ge (0.7211, 0.2789, 0.2500)  3 Rh 2.52-2.68, 2 Ge 2.66
Ge (0.7657, 0.5779, 0.1699)  3 Rh 2.37-2.53, 1 Ge 2.64
Ge (0.9863, 0.0137, 0.2500)  4 Rh 2.43-2.46
Rh (0.0473, 0.7617, 0.3744)  5 Ge 2.37-2.52
Rh (0.2383, 0.9527, 0.1256)  5 Ge 2.37-2.52
Rh (0.4990, 0.5010, 0.2500)  6 Ge 2.46-2.68
Rh (0.5010, 0.4990, 0.7500)  6 Ge 2.46-2.68
Rh (0.7617, 0.0473, 0.8744)  5 Ge 2.37-2.52
Rh (0.9527, 0.2383, 0.6256)  5 Ge 2.37-2.52

Output
- symmetry = No. 15

no.,magnetic moment (μB per cell),energy (eV per atom)
1,2.44,-2.305
2,0.00,-6.714